This record from Alexandria via LeMat-Bulk describes SrCaSbI2 after structural relaxation. The functional is PBE.

Results
The calculation puts the total magnetization at 0.88 μB/f.u. The uncorrected formation energy is -817 meV per atom. The total energy comes out at -14.99 eV for the cell shown.

Unit cell a=5.8761 b=5.8761 c=6.2194 alpha=90.00 beta=90.00 gamma=90.00
Atoms (fractional coordinates):
Sr (0.0000, 0.0000, 0.0000)
Ca (0.5000, 0.5000, 0.5000)
Sb (0.5000, 0.5000, 0.0000)
I (0.0000, 0.5000, 0.5000)
I (0.5000, 0.0000, 0.5000)